(1)
A relaxed structure of GdZrSi2. Source: the Open Quantum Materials Database, functional PBE.

Cell and atoms, written as extended XYZ:
```
8
Lattice="3.802 0.000 0.000 0.000 7.592 0.000 0.000 0.000 5.505" Properties=species:S:1:pos:R:3 pbc="T T T"
Gd 0.000 0.559 0.000
Gd 1.901 7.033 2.753
Zr 0.000 4.291 1.427
Zr 1.901 3.301 4.179
Si 0.000 1.723 2.822
Si 0.000 5.287 4.094
Si 1.901 2.305 1.341
Si 1.901 5.868 0.070
```

Summary:
**SG**: Pmn2_1 (31)
**Energy**: -6.854 eV per atom

(2)
A relaxed structure of Gd2ZrSi2. Source: the Open Quantum Materials Database, functional PBE.

Cell and atoms, written as extended XYZ:
```
10
Lattice="7.324 0.000 0.000 0.000 7.324 0.000 0.000 0.000 4.186" Properties=species:S:1:pos:R:3 pbc="T T T"
Gd 1.295 2.367 0.000
Gd 2.367 6.029 0.000
Gd 4.958 1.295 0.000
Gd 6.029 4.958 0.000
Zr 0.000 0.000 2.093
Zr 3.662 3.662 2.093
Si 0.894 4.556 2.093
Si 2.768 0.894 2.093
Si 4.556 6.430 2.093
Si 6.430 2.768 2.093
```

Summary:
**SG**: P4/mbm (127)
**Energy**: -6.432 eV per atom

(3)
A relaxed structure of GdZr3Si4. Source: the Open Quantum Materials Database, functional PBE.

Cell and atoms, written as extended XYZ:
```
8
Lattice="5.437 0.000 0.000 0.000 3.803 0.000 -0.103 0.000 7.269" Properties=species:S:1:pos:R:3 pbc="T T T"
Gd 0.000 0.000 0.000
Zr 1.337 0.000 3.642
Zr 2.689 1.902 1.088
Zr 4.011 1.902 4.657
Si 0.026 1.902 2.133
Si 1.244 1.902 5.622
Si 2.687 0.000 6.243
Si 3.953 0.000 2.677
```

Summary:
**SG**: Pm (6)
**Energy**: -7.363 eV per atom

(4)
A relaxed structure of Sm2Gd. Source: the Open Quantum Materials Database, functional PBE.

Cell and atoms, written as extended XYZ:
```
6
Lattice="0.000 6.341 6.341 6.341 0.000 6.341 6.341 6.341 0.000" Properties=species:S:1:pos:R:3 pbc="T T T"
Sm 0.000 0.000 0.000
Sm 3.170 3.170 0.000
Sm 3.170 0.000 3.170
Sm 0.000 3.170 3.170
Gd 1.585 1.585 1.585
Gd 11.096 11.096 11.096
```

Summary:
**SG**: Fd-3m (227)
**Energy relative to the elements**: 2.292 eV per atom
**Energy**: -2.400 eV per atom

(5)
A relaxed structure of SmGd2. Source: the Open Quantum Materials Database, functional PBE.

Cell and atoms, written as extended XYZ:
```
6
Lattice="0.000 6.320 6.320 6.320 0.000 6.320 6.320 6.320 0.000" Properties=species:S:1:pos:R:3 pbc="T T T"
Sm 1.580 1.580 1.580
Sm 11.061 11.061 11.061
Gd 0.000 0.000 0.000
Gd 3.160 3.160 0.000
Gd 3.160 0.000 3.160
Gd 0.000 3.160 3.160
```

Summary:
**SG**: Fd-3m (227)
**Energy relative to the elements**: 2.388 eV per atom
**Energy**: -2.285 eV per atom

(6)
A relaxed structure of Sm2GdSn7. Source: the Open Quantum Materials Database, functional PBE.

Cell and atoms, written as extended XYZ:
```
10
Lattice="2.262 -12.910 0.000 2.262 12.910 0.000 0.000 0.000 4.589" Properties=species:S:1:pos:R:3 pbc="T T T"
Sm 2.262 8.112 0.000
Sm 2.262 -8.112 0.000
Gd 0.000 0.000 0.000
Sn 2.262 10.437 2.294
Sn 2.262 5.429 2.294
Sn 2.262 2.457 0.000
Sn 2.262 0.000 2.294
Sn 2.262 -2.457 0.000
Sn 2.262 -5.429 2.294
Sn 2.262 -10.437 2.294
```

Summary:
**SG**: Cmmm (65)
**Energy**: -4.780 eV per atom

Going through the records in order, we get volume values of 19.860; 22.459; 18.789; 84.979; 84.157; 26.801 Å³/atom.